VASP calculation (GGA+U) on a relaxed structure of NaCrSeO5.

Values from the calculation:
As for the raw total energy: -5.88 eV/atom. As for the space group: No. 15. The calculation puts the total moment at 3.0 μB/f.u.

Cell and atoms, written as POSCAR:
```
NaCrSeO5
1.0
5.6468 0.0925 -0.0176
-1.5599 5.4279 -0.0176
-1.7176 -2.3201 6.5589
Se O Na Cr
2 10 2 2
direct
0.6810 0.3190 0.2500
0.3190 0.6810 0.7500
0.0721 0.9279 0.2500
0.8921 0.3208 0.1189
0.2523 0.3867 0.5783
0.3208 0.8921 0.6189
0.7477 0.6133 0.4217
0.6133 0.7477 0.9217
0.6792 0.1079 0.3811
0.1079 0.6792 0.8811
0.3867 0.2523 0.0783
0.9279 0.0721 0.7500
0.3213 0.6787 0.2500
0.6787 0.3213 0.7500
0.0000 0.0000 0.0000
0.0000 0.0000 0.5000
```

=====

VASP calculation (GGA+U) on a relaxed structure of Na4Cr3SeO8.

Values from the calculation:
As for the raw total energy: -6.00 eV/atom. As for the space group: No. 12. The calculation puts the total moment at 10.0 μB/f.u.

Cell and atoms, written as POSCAR:
```
Na4Cr3SeO8
1.0
-4.8673 -0.3880 -3.6923
-1.0211 -6.0190 1.9785
0.1936 4.6365 4.3322
O Na Cr Se
8 4 3 1
direct
0.2785 0.3101 0.0530
0.2625 0.7183 0.5250
0.2255 0.6899 0.9470
0.7215 0.6899 0.9470
0.7745 0.3101 0.0530
0.2729 0.3020 0.5457
0.7271 0.6980 0.4543
0.7375 0.2817 0.4750
0.0000 0.0000 0.5000
0.0000 0.0000 0.0000
0.5000 0.0000 0.5000
0.5000 0.0000 0.0000
0.5000 0.5000 0.0000
0.0000 0.5000 0.5000
0.5000 0.5000 0.5000
0.0000 0.5000 0.0000
```

=====

VASP calculation (GGA+U) on a relaxed structure of Na3Cr3SeO8.

Values from the calculation:
As for the raw total energy: -6.27 eV/atom. As for the space group: No. 166. The calculation puts the total moment at 9.0 μB/f.u.

Cell and atoms, written as POSCAR:
```
Na3Cr3SeO8
1.0
6.1004 -0.0001 0.0000
-3.0503 5.2831 -0.0189
0.0000 -3.5024 5.4901
Se O Na Cr
1 8 3 3
direct
0.0000 0.0000 0.5000
0.7310 0.4620 0.6930
0.2690 0.5380 0.3070
0.2329 0.4658 0.6952
0.2329 0.9623 0.6952
0.7671 0.0377 0.3048
0.7671 0.5342 0.3048
0.2706 0.0377 0.3048
0.7294 0.9623 0.6952
0.0000 0.5000 0.0000
0.0000 0.0000 0.0000
0.5000 0.5000 0.0000
0.5000 0.5000 0.5000
0.5000 0.0000 0.5000
0.0000 0.5000 0.5000
```

=====

VASP calculation (GGA+U) on a relaxed structure of Na2CrSeO.

Values from the calculation:
As for the raw total energy: -4.81 eV/atom. As for the space group: No. 123. The calculation puts the total moment at 4.0 μB/f.u.

Cell and atoms, written as POSCAR:
```
Na2CrSeO
1.0
-3.7021 2.3567 1.1688
-2.5399 -3.7276 -0.5289
0.6234 -0.9875 3.9658
O Cr Se Na
1 1 1 2
direct
0.0000 0.0000 0.0000
0.0000 0.0000 0.5000
0.5000 0.5000 0.5000
0.5000 0.0000 0.0000
0.0000 0.5000 0.0000
```

=====

Question: Which of these has the lowest total moment?
Answer: NaCrSeO5